a.
DFT (PBE-GGA) results for K2Be2Tc after structural relaxation.

The structure in extended XYZ format:
```
10
Lattice="9.6661 0.0000 0.0000 0.0000 9.6661 0.0000 0.0000 0.0000 2.5833" Properties=species:S:1:pos:R:3 pbc="T T T"
K 1.9755 2.8576 0.0000
K 2.8576 7.6906 0.0000
K 6.8085 1.9755 0.0000
K 7.6906 6.8085 0.0000
Be 0.7668 5.5999 1.2917
Be 4.0662 0.7668 1.2917
Be 5.5999 8.8993 1.2917
Be 8.8993 4.0662 1.2917
Tc 0.0000 0.0000 0.0000
Tc 4.8330 4.8330 0.0000
```

Summary:
The density of states at the Fermi level is 5.45 states/eV/cell. As for the space-group type: P4/mbm, No. 127.



b.
DFT (PBE-GGA) results for K2Be2Tc after structural relaxation.

The structure in extended XYZ format:
```
5
Lattice="-1.4339 1.4339 11.7805 1.4339 -1.4339 11.7805 1.4339 1.4339 -11.7805" Properties=species:S:1:pos:R:3 pbc="T T T"
K 0.0000 0.0000 2.7859
K 0.0000 0.0000 20.7751
Be 1.4339 0.0000 5.8903
Be 0.0000 1.4339 5.8903
Tc 0.0000 0.0000 11.7805
```

Summary:
The density of states at the Fermi level is 2.14 states/eV/cell. As for the space-group type: I4/mmm, No. 139.



In terms of stability, b leads; the second structure lies 520 meV per atom higher.



a.
DFT (PBE-GGA) results for KBeTc3 after structural relaxation.

The structure in extended XYZ format:
```
5
Lattice="4.4696 0.0000 0.0000 0.0000 4.4696 0.0000 0.0000 0.0000 4.4696" Properties=species:S:1:pos:R:3 pbc="T T T"
K 0.0000 0.0000 0.0000
Be 2.2348 2.2348 2.2348
Tc 0.0000 0.0000 2.2348
Tc 0.0000 2.2348 0.0000
Tc 2.2348 0.0000 0.0000
```

Summary:
The density of states at the Fermi level is 6.62 states/eV/cell. As for the space-group type: Pm-3m, No. 221.



b.
DFT (PBE-GGA) results for KBeTc3 after structural relaxation.

The structure in extended XYZ format:
```
5
Lattice="4.3866 0.0000 0.0000 0.0000 4.3866 0.0000 0.0000 0.0000 4.3866" Properties=species:S:1:pos:R:3 pbc="T T T"
K 0.0000 0.0000 0.0000
Be 2.1933 2.1933 2.1933
Tc 0.0000 2.1933 2.1933
Tc 2.1933 0.0000 2.1933
Tc 2.1933 2.1933 0.0000
```

Summary:
The density of states at the Fermi level is 8.73 states/eV/cell. As for the space-group type: Pm-3m, No. 221.



In terms of stability, b leads; the second structure lies 1813 meV per atom higher.



a.
DFT (PBE-GGA) results for KBeTe3 after structural relaxation.

The structure in extended XYZ format:
```
5
Lattice="5.2355 0.0000 0.0000 0.0000 5.2355 0.0000 0.0000 0.0000 5.2355" Properties=species:S:1:pos:R:3 pbc="T T T"
K 0.0000 0.0000 0.0000
Be 2.6177 2.6177 2.6177
Te 0.0000 2.6177 2.6177
Te 2.6177 0.0000 2.6177
Te 2.6177 2.6177 0.0000
```

Summary:
The density of states at the Fermi level is 4.52 states/eV/cell. As for the space-group type: Pm-3m, No. 221.



b.
DFT (PBE-GGA) results for KBeTe3 after structural relaxation.

The structure in extended XYZ format:
```
5
Lattice="6.0150 0.0000 0.0000 0.0000 6.0150 0.0000 0.0000 0.0000 6.0150" Properties=species:S:1:pos:R:3 pbc="T T T"
K 0.0000 0.0000 0.0000
Be 3.0075 3.0075 3.0075
Te 0.0000 0.0000 3.0075
Te 0.0000 3.0075 0.0000
Te 3.0075 0.0000 0.0000
```

Summary:
The density of states at the Fermi level is 8.27 states/eV/cell. As for the space-group type: Pm-3m, No. 221.



In terms of stability, a leads; the second structure lies 1445 meV per atom higher.



a.
DFT (PBE-GGA) results for K2BeTe after structural relaxation.

The structure in extended XYZ format:
```
4
Lattice="-2.5294 2.5294 5.3027 2.5294 -2.5294 5.3027 2.5294 2.5294 -5.3027" Properties=species:S:1:pos:R:3 pbc="T T T"
K 0.0000 0.0000 0.0000
K 0.0000 2.5294 2.6513
Be 0.0000 0.0000 5.3027
Te 2.5294 0.0000 2.6513
```

Summary:
The density of states at the Fermi level is 0.45 states/eV/cell. As for the space-group type: I-4m2, No. 119.



b.
DFT (PBE-GGA) results for K2BeTe after structural relaxation.

The structure in extended XYZ format:
```
4
Lattice="0.0000 4.1184 4.1184 4.1184 0.0000 4.1184 4.1184 4.1184 0.0000" Properties=species:S:1:pos:R:3 pbc="T T T"
K 2.0592 2.0592 2.0592
K 6.1777 6.1777 6.1777
Be 0.0000 0.0000 0.0000
Te 4.1184 4.1184 4.1184
```

Summary:
The density of states at the Fermi level is 0.00 states/eV/cell. As for the space-group type: Fm-3m, No. 225.



c.
DFT (PBE-GGA) results for K2BeTe after structural relaxation.

The structure in extended XYZ format:
```
8
Lattice="-2.9443 2.9443 10.5144 2.9443 -2.9443 10.5144 2.9443 2.9443 -10.5144" Properties=species:S:1:pos:R:3 pbc="T T T"
K 4.4164 1.4385 -2.6286
K 1.4385 1.4721 2.6286
K -1.4721 1.5058 7.8858
K 1.5058 1.4721 13.1430
Be 2.9443 0.0000 5.2572
Be 0.0000 0.0000 10.5144
Te 0.0000 0.0000 0.0000
Te 0.0000 2.9443 5.2572
```

Summary:
The density of states at the Fermi level is 0.00 states/eV/cell. As for the space-group type: I-42d, No. 122.



In terms of stability, b leads; the second structure lies 82 meV per atom higher.